{"formula": "Rb3NaAs2Au2", "functional": "GGA-PBE", "state": "relaxed", "e_tot_ev_per_atom": -2.9683, "lattice_angstrom": [[6.3667, 0.0000, 0.0000], [0.0000, 6.4110, 0.0000], [-1.7235, 0.0000, 6.2048]], "species": ["Au", "Au", "As", "As", "Na", "Rb", "Rb", "Rb"], "fractional_positions": [[0.4964, 0.7498, 0.4875], [0.4964, 0.2502, 0.4875], [0.2475, 0.0000, 0.2327], [0.7182, 0.5000, 0.7651], [0.3565, 0.5000, 0.0084], [0.0339, 0.0000, 0.6780], [0.9744, 0.5000, 0.3283], [0.6767, 0.0000, 0.0126]]}

{"formula": "RbNaAsAu", "functional": "GGA-PBE", "state": "relaxed", "polymorph_energy_mev_per_atom": 0.0, "lattice_angstrom": [[-4.5541, 3.8072, 1.2538], [-3.9392, -4.0954, -1.8719], [0.8870, -3.3583, 5.4807]], "species": ["Rb", "Rb", "Na", "Na", "Au", "Au", "As", "As"], "fractional_positions": [[0.4570, 0.7500, 0.8262], [0.5430, 0.2500, 0.1738], [0.1561, 0.2500, 0.4829], [0.8439, 0.7500, 0.5171], [0.0000, 0.0000, 0.0000], [0.0000, 0.5000, 0.0000], [0.7708, 0.2500, 0.7068], [0.2292, 0.7500, 0.2932]]}

{"formula": "NbAs2Au2", "functional": "GGA-PBE", "state": "relaxed", "e_tot_ev_per_atom": -4.7085, "lattice_angstrom": [[-1.9906, 1.9906, 6.3067], [1.9906, -1.9906, 6.3067], [1.9906, 1.9906, -6.3067]], "species": ["Au", "Au", "Nb", "As", "As"], "fractional_positions": [[0.3962, 0.3962, 0.0000], [0.6038, 0.6038, 0.0000], [0.0000, 0.0000, 0.0000], [0.2500, 0.7500, 0.5000], [0.7500, 0.2500, 0.5000]]}

{"formula": "NbNiAsAu", "functional": "GGA-PBE", "state": "relaxed", "e_tot_ev_per_atom": -5.9258, "lattice_angstrom": [[2.3265, -0.1162, 3.8256], [2.7055, 3.4023, 1.0800], [-1.0888, 2.7451, 3.3676]], "species": ["As", "Nb", "Au", "Ni"], "fractional_positions": [[0.0000, 0.0000, 0.0000], [0.2500, 0.2500, 0.2500], [0.5000, 0.5000, 0.5000], [0.7500, 0.7500, 0.7500]]}

Copy entry 3 word for word.
{"formula": "NbAs2Au2", "functional": "GGA-PBE", "state": "relaxed", "e_tot_ev_per_atom": -4.7085, "lattice_angstrom": [[-1.9906, 1.9906, 6.3067], [1.9906, -1.9906, 6.3067], [1.9906, 1.9906, -6.3067]], "species": ["Au", "Au", "Nb", "As", "As"], "fractional_positions": [[0.3962, 0.3962, 0.0000], [0.6038, 0.6038, 0.0000], [0.0000, 0.0000, 0.0000], [0.2500, 0.7500, 0.5000], [0.7500, 0.2500, 0.5000]]}